Entry 1:
Compound: BaCuP2S8
Source: Alexandria
Functional: PBE
Structure: relaxed

a = 5.8646 Å, b = 5.8646 Å, c = 8.8846 Å
α = 90.00°, β = 90.00°, γ = 120.00°
Space group P-3 (No. 147)
Unique sites:
1 Ba 0.0000 0.0000 0.0000 x1
2 Cu 0.0000 0.0000 0.5000 x1
3 P 0.3333 0.6667 0.7333 x2
4 S 0.0028 0.6776 0.3301 x6
5 S 0.3333 0.6667 0.9617 x2

---

Entry 2:
Compound: BaCu2P2S6
Source: Alexandria
Functional: PBE
Structure: relaxed

a = 6.218 Å, b = 6.222 Å, c = 8.145 Å
α = 70.45°, β = 80.29°, γ = 62.36°
Space group P-1 (No. 2)
Unique sites:
1 Ba 0.000 0.000 0.000 x1
2 Cu 0.225 0.087 0.381 x2
3 P 0.500 0.497 0.643 x2
4 S 0.193 0.820 0.659 x2
5 S 0.195 0.484 0.317 x2
6 S 0.493 0.844 0.208 x2

---

Entry 3:
Compound: BaCuP2S
Source: Alexandria
Functional: PBE
Structure: relaxed

a = 6.281 Å, b = 6.281 Å, c = 5.764 Å
α = 90.00°, β = 90.00°, γ = 90.00°
Space group P4/mmm (No. 123)
Unique sites:
1 Ba 0.000 0.000 0.000 x1
2 Cu 0.500 0.500 0.500 x1
3 P 0.000 0.500 0.000 x2
4 S 0.000 0.000 0.500 x1

Distance to the lowest polymorph of the same formula = 157.58 kJ/mol of atoms

---

Entry 4:
Compound: BaCuPS2
Source: Alexandria
Functional: PBE
Structure: relaxed

a = 5.933 Å, b = 5.933 Å, c = 6.263 Å
α = 90.00°, β = 90.00°, γ = 90.00°
Space group P4/mmm (No. 123)
Unique sites:
1 Ba 0.000 0.000 0.000 x1
2 Cu 0.500 0.500 0.500 x1
3 P 0.000 0.000 0.500 x1
4 S 0.000 0.500 0.000 x2

Distance to the lowest polymorph of the same formula = 148.85 kJ/mol of atoms

---

Entry 5:
Compound: Ba3CuP2S8
Source: Alexandria
Functional: PBE
Structure: relaxed

a = 6.7426 Å, b = 6.7426 Å, c = 8.7673 Å
α = 90.00°, β = 90.00°, γ = 120.00°
Space group P-3m1 (No. 164)
Unique sites:
1 Ba 0.0000 0.0000 0.0000 x1
2 Ba 0.3333 0.6667 0.6310 x2
3 Cu 0.0000 0.0000 0.5000 x1
4 P 0.3333 0.6667 0.2178 x2
5 S 0.1664 0.3328 0.3128 x6
6 S 0.3333 0.6667 0.9867 x2

---

Entry 6:
Compound: BaCu4SbP2
Source: Alexandria
Functional: PBE
Structure: relaxed

a = 4.065 Å, b = 4.065 Å, c = 9.366 Å
α = 90.00°, β = 90.00°, γ = 90.00°
Space group P4/mmm (No. 123)
Unique sites:
1 Ba 0.000 0.000 0.000 x1
2 Cu 0.000 0.500 0.310 x4
3 Sb 0.000 0.000 0.500 x1
4 P 0.500 0.500 0.195 x2

---

| no. | uncorrected formation energy (meV/atom) | DFT total energy (eV/atom) |
| --- | --- | --- |
| 1 | -392 | -4.55 |
| 2 | -613 | -4.77 |
| 3 | 1443 | -2.75 |
| 4 | 1095 | -2.84 |
| 5 | -1036 | -4.87 |
| 6 | -323 | -4.48 |